i.
Sm4Dy3Er5: relaxed, PBE.

Properties
D(E_F)   15.168 states/eV/cell

Cell: 7.108 11.241 12.813 Å, 151.28 56.29 129.31°
Element x y z (fractional)
Dy 0.420 0.836 0.668
Dy 0.000 0.000 0.500
Dy 0.580 0.164 0.332
Er 0.248 0.501 0.001
Er 0.669 0.335 0.166
Er 0.500 0.000 0.500
Er 0.331 0.665 0.834
Er 0.752 0.499 0.999
Sm 0.917 0.835 0.667
Sm 0.831 0.663 0.832
Sm 0.169 0.337 0.168
Sm 0.083 0.165 0.333

***

ii.
Sm4Dy3Er5: relaxed, PBE.

Properties
D(E_F)   19.521 states/eV/cell

Cell: 5.890 8.525 9.627 Å, 105.62 72.19 69.79°
Last column: magnetic moment on the atom in μB.
Element x y z (fractional)
Er 0.371 0.058 0.201  0.01
Er 0.500 0.500 0.500  0.19
Er 0.629 0.942 0.799  0.01
Er 0.787 0.542 0.885  0.01
Er 0.213 0.458 0.115  0.01
Sm 0.167 0.048 0.619  0.00
Sm 0.861 0.222 0.056  0.01
Sm 0.833 0.952 0.381  0.00
Sm 0.139 0.778 0.944  0.01
Dy 0.476 0.313 0.735  0.01
Dy 0.000 0.500 0.500  0.20
Dy 0.524 0.687 0.265  0.01

***

Stability summary: most stable i, least stable ii.

***

i.
Sm6Dy3Er2: relaxed, PBE.

Properties
D(E_F)   14.340 states/eV/cell

Cell: 6.197 8.019 16.467 Å, 50.47 63.74 104.76°
Element x y z (fractional)
Sm 0.275 0.638 0.089
Sm 0.725 0.362 0.911
Sm 0.635 0.816 0.546
Sm 0.910 0.454 0.636
Sm 0.090 0.546 0.364
Sm 0.365 0.184 0.454
Er 0.452 0.725 0.820
Er 0.548 0.275 0.180
Dy 0.822 0.913 0.271
Dy 0.178 0.087 0.729
Dy 0.000 0.000 0.000

***

ii.
Sm6Dy3Er2: relaxed, PBE.

Properties
D(E_F)   16.055 states/eV/cell

Cell: 4.754 4.754 17.046 Å, 98.02 98.02 90.00°
Element x y z (fractional)
Er 0.455 0.455 0.909
Er 0.545 0.545 0.091
Sm 0.620 0.120 0.240
Sm 0.880 0.380 0.760
Sm 0.699 0.699 0.398
Sm 0.301 0.301 0.602
Sm 0.120 0.620 0.240
Sm 0.380 0.880 0.760
Dy 0.000 0.000 0.000
Dy 0.802 0.802 0.603
Dy 0.198 0.198 0.397

***

Stability summary: most stable i, least stable ii.

***

i.
Sm6Dy8Er: relaxed, PBE.

Properties
D(E_F)   22.281 states/eV/cell

Cell: 6.553 9.439 9.439 Å, 120.00 90.00 90.00°
Element x y z (fractional)
Sm 0.598 0.678 0.086
Sm 0.598 0.407 0.322
Sm 0.598 0.914 0.593
Sm 0.402 0.322 0.914
Sm 0.402 0.593 0.678
Sm 0.402 0.086 0.407
Dy 0.106 0.673 0.981
Dy 0.894 0.327 0.019
Dy 0.894 0.981 0.308
Dy 0.844 0.333 0.667
Dy 0.156 0.667 0.333
Dy 0.106 0.308 0.327
Dy 0.894 0.692 0.673
Dy 0.106 0.019 0.692
Er 0.500 0.000 0.000

***

ii.
Sm6Dy8Er: relaxed, PBE.

Properties
D(E_F)   21.729 states/eV/cell

Cell: 9.085 9.085 8.669 Å, 58.40 58.40 60.00°
Element x y z (fractional)
Sm 0.461 0.895 0.873
Sm 0.228 0.539 0.127
Sm 0.895 0.772 0.873
Sm 0.539 0.105 0.127
Sm 0.772 0.461 0.873
Sm 0.105 0.228 0.127
Dy 0.720 0.111 0.422
Dy 0.254 0.280 0.578
Dy 0.746 0.720 0.422
Dy 0.577 0.577 0.269
Dy 0.280 0.889 0.578
Dy 0.111 0.746 0.422
Dy 0.889 0.254 0.578
Dy 0.423 0.423 0.731
Er 0.000 0.000 0.000

***

Stability summary: most stable ii, least stable i.